(1)
First-principles (GGA-PBE) data for crystalline LaY2BPb at its relaxed geometry, as listed in Alexandria via LeMat-Bulk. Values from VASP.

Formation enthalpy at 0 K = -0.377 eV per atom
E_tot = -30.13 eV/cell
SG = P4/mmm (123)

Cell and atoms, written as Quantum ESPRESSO input:
```
&SYSTEM
  ibrav = 0, nat = 5, ntyp = 4
/
ATOMIC_SPECIES
Pb 207.20 Pb.upf
La 138.91 La.upf
Y 88.91 Y.upf
B 10.81 B.upf
CELL_PARAMETERS angstrom
5.123 0.000 0.000
0.000 5.123 0.000
0.000 0.000 5.218
ATOMIC_POSITIONS crystal
Pb 0.500 0.500 0.500
La 0.000 0.000 0.500
Y 0.000 0.500 0.000
B 0.000 0.000 0.000
Y 0.500 0.000 0.000
```


(2)
First-principles (GGA-PBE) data for crystalline LaBPd3 at its relaxed geometry, as listed in Alexandria via LeMat-Bulk. Values from VASP.

Formation enthalpy at 0 K = -0.554 eV per atom
E_tot = -29.96 eV/cell
SG = Pm-3m (221)

Cell and atoms, written as Quantum ESPRESSO input:
```
&SYSTEM
  ibrav = 0, nat = 5, ntyp = 3
/
ATOMIC_SPECIES
Pd 106.42 Pd.upf
La 138.91 La.upf
B 10.81 B.upf
CELL_PARAMETERS angstrom
-3.434 2.616 -0.920
-2.632 -3.536 -0.229
-0.872 0.370 4.311
ATOMIC_POSITIONS crystal
Pd 0.000 0.000 0.500
Pd 0.500 0.000 0.000
La 0.500 0.500 0.500
B 0.000 0.000 0.000
Pd 0.000 0.500 0.000
```


(3)
First-principles (GGA-PBE) data for crystalline La2BPd4 at its relaxed geometry, as listed in Alexandria via LeMat-Bulk. Values from VASP.

Formation enthalpy at 0 K = -0.616 eV per atom
E_tot = -41.62 eV/cell
SG = I4/mmm (139)

Cell and atoms, written as Quantum ESPRESSO input:
```
&SYSTEM
  ibrav = 0, nat = 7, ntyp = 3
/
ATOMIC_SPECIES
La 138.91 La.upf
Pd 106.42 Pd.upf
B 10.81 B.upf
CELL_PARAMETERS angstrom
-1.778 -2.485 2.962
3.856 -1.385 1.152
1.585 3.999 7.364
ATOMIC_POSITIONS crystal
La 0.659 0.659 0.681
La 0.341 0.341 0.319
Pd 0.500 0.000 0.000
Pd 0.135 0.135 0.729
Pd 0.865 0.865 0.271
Pd 0.000 0.500 0.000
B 0.000 0.000 0.000
```


(4)
First-principles (GGA-PBE) data for crystalline LaB2Pd7 at its relaxed geometry, as listed in Alexandria via LeMat-Bulk. Values from VASP.

Formation enthalpy at 0 K = -0.269 eV per atom
E_tot = -57.32 eV/cell
SG = Cmmm (65)

Cell and atoms, written as Quantum ESPRESSO input:
```
&SYSTEM
  ibrav = 0, nat = 10, ntyp = 3
/
ATOMIC_SPECIES
Pd 106.42 Pd.upf
B 10.81 B.upf
La 138.91 La.upf
CELL_PARAMETERS angstrom
4.180 0.000 0.000
0.000 6.622 0.064
0.000 -2.864 5.971
ATOMIC_POSITIONS crystal
Pd 0.000 0.331 0.669
B 0.500 0.292 0.708
Pd 0.500 0.500 0.500
Pd 0.500 0.333 0.055
Pd 0.000 0.669 0.331
Pd 0.500 0.055 0.333
La 0.000 0.000 0.000
Pd 0.500 0.667 0.945
B 0.500 0.708 0.292
Pd 0.500 0.945 0.667
```


(5)
First-principles (GGA-PBE) data for crystalline LaB4Pd12 at its relaxed geometry, as listed in Alexandria via LeMat-Bulk. Values from VASP.

Formation enthalpy at 0 K = -0.324 eV per atom
E_tot = -99.46 eV/cell
SG = Im-3 (204)

Cell and atoms, written as Quantum ESPRESSO input:
```
&SYSTEM
  ibrav = 0, nat = 17, ntyp = 3
/
ATOMIC_SPECIES
B 10.81 B.upf
Pd 106.42 Pd.upf
La 138.91 La.upf
CELL_PARAMETERS angstrom
6.904 0.000 0.000
-2.301 6.509 0.000
-2.301 -3.255 5.637
ATOMIC_POSITIONS crystal
B 0.500 0.000 0.000
Pd 0.324 0.140 0.816
Pd 0.508 0.184 0.324
Pd 0.184 0.676 0.860
Pd 0.860 0.184 0.676
Pd 0.676 0.860 0.184
Pd 0.140 0.816 0.324
Pd 0.492 0.816 0.676
Pd 0.816 0.324 0.140
Pd 0.324 0.508 0.184
La 0.000 0.000 0.000
B 0.000 0.000 0.500
B 0.000 0.500 0.000
B 0.500 0.500 0.500
Pd 0.184 0.324 0.508
Pd 0.676 0.492 0.816
Pd 0.816 0.676 0.492
```


(6)
First-principles (GGA-PBE) data for crystalline LaBPd2 at its relaxed geometry, as listed in Alexandria via LeMat-Bulk. Values from VASP.

Formation enthalpy at 0 K = -0.266 eV per atom
E_tot = -46.11 eV/cell
SG = I-42d (122)

Cell and atoms, written as Quantum ESPRESSO input:
```
&SYSTEM
  ibrav = 0, nat = 8, ntyp = 3
/
ATOMIC_SPECIES
La 138.91 La.upf
Pd 106.42 Pd.upf
B 10.81 B.upf
CELL_PARAMETERS angstrom
-4.143 1.455 2.336
1.645 -2.075 4.210
1.759 5.526 4.975
ATOMIC_POSITIONS crystal
La 0.000 0.000 0.000
Pd 0.875 0.701 0.750
Pd 0.299 0.625 0.250
La 0.750 0.250 0.500
B 0.250 0.750 0.500
Pd 0.451 0.125 0.250
B 0.500 0.500 0.000
Pd 0.375 0.549 0.750
```


(7)
First-principles (GGA-PBE) data for crystalline La2B3PdPt12 at its relaxed geometry, as listed in Alexandria via LeMat-Bulk. Values from VASP.

Formation enthalpy at 0 K = -0.366 eV per atom
E_tot = -114.16 eV/cell
SG = R-3m (166)

Cell and atoms, written as Quantum ESPRESSO input:
```
&SYSTEM
  ibrav = 0, nat = 18, ntyp = 4
/
ATOMIC_SPECIES
Pt 195.08 Pt.upf
B 10.81 B.upf
La 138.91 La.upf
Pd 106.42 Pd.upf
CELL_PARAMETERS angstrom
7.463 -0.283 -0.201
3.439 6.629 -0.201
3.439 2.002 6.323
ATOMIC_POSITIONS crystal
Pt 0.087 0.676 0.676
B 0.000 0.000 0.500
B 0.000 0.500 0.000
Pt 0.125 0.611 0.125
Pt 0.324 0.913 0.324
Pt 0.875 0.875 0.389
Pt 0.324 0.324 0.913
La 0.393 0.393 0.393
Pt 0.676 0.676 0.087
B 0.500 0.000 0.000
Pt 0.125 0.125 0.611
Pt 0.875 0.389 0.875
Pt 0.676 0.087 0.676
La 0.607 0.607 0.607
Pt 0.913 0.324 0.324
Pd 0.000 0.000 0.000
Pt 0.611 0.125 0.125
Pt 0.389 0.875 0.875
```


(8)
First-principles (GGA-PBE) data for crystalline La3B2Pd9Pt at its relaxed geometry, as listed in Alexandria via LeMat-Bulk. Values from VASP.

Formation enthalpy at 0 K = -0.653 eV per atom
E_tot = -90.71 eV/cell
SG = P-3m1 (164)

Cell and atoms, written as Quantum ESPRESSO input:
```
&SYSTEM
  ibrav = 0, nat = 15, ntyp = 4
/
ATOMIC_SPECIES
La 138.91 La.upf
Pt 195.08 Pt.upf
Pd 106.42 Pd.upf
B 10.81 B.upf
CELL_PARAMETERS angstrom
5.796 0.000 0.000
-2.898 5.020 0.000
0.000 0.000 9.564
ATOMIC_POSITIONS crystal
La 0.667 0.333 0.393
Pt 0.000 0.000 0.500
Pd 0.834 0.166 0.726
B 0.667 0.333 0.855
La 0.333 0.667 0.607
Pd 0.834 0.669 0.726
Pd 0.166 0.834 0.274
B 0.333 0.667 0.145
Pd 0.000 0.500 0.000
Pd 0.500 0.500 0.000
Pd 0.669 0.834 0.274
Pd 0.331 0.166 0.726
Pd 0.500 0.000 0.000
La 0.000 0.000 0.000
Pd 0.166 0.331 0.274
```


(9)
First-principles (GGA-PBE) data for crystalline La2BPdPt6 at its relaxed geometry, as listed in Alexandria via LeMat-Bulk. Values from VASP.

Formation enthalpy at 0 K = -0.810 eV per atom
E_tot = -66.07 eV/cell
SG = R-3m (166)

Cell and atoms, written as Quantum ESPRESSO input:
```
&SYSTEM
  ibrav = 0, nat = 10, ntyp = 4
/
ATOMIC_SPECIES
B 10.81 B.upf
Pt 195.08 Pt.upf
La 138.91 La.upf
Pd 106.42 Pd.upf
CELL_PARAMETERS angstrom
-1.758 -4.204 -3.363
6.205 -4.052 1.825
1.436 -6.850 3.047
ATOMIC_POSITIONS crystal
B 0.500 0.500 0.000
Pt 0.215 0.267 0.051
Pt 0.267 0.216 0.466
La 0.713 0.287 0.574
Pd 0.000 0.000 0.000
La 0.287 0.713 0.426
Pt 0.733 0.784 0.534
Pt 0.733 0.266 0.051
Pt 0.785 0.733 0.949
Pt 0.267 0.734 0.949
```


(10)
First-principles (GGA-PBE) data for crystalline La2BPd6Pt at its relaxed geometry, as listed in Alexandria via LeMat-Bulk. Values from VASP.

Formation enthalpy at 0 K = -0.666 eV per atom
E_tot = -120.77 eV/cell
SG = R-3m (166)

Cell and atoms, written as Quantum ESPRESSO input:
```
&SYSTEM
  ibrav = 0, nat = 20, ntyp = 4
/
ATOMIC_SPECIES
B 10.81 B.upf
Pd 106.42 Pd.upf
Pt 195.08 Pt.upf
La 138.91 La.upf
CELL_PARAMETERS angstrom
-1.784 -3.511 4.131
3.565 -1.523 4.188
-3.410 8.888 10.023
ATOMIC_POSITIONS crystal
B 0.000 0.000 0.000
Pd 0.202 0.686 0.911
Pt 0.582 0.582 0.253
Pd 0.314 0.798 0.089
Pd 0.202 0.202 0.911
Pd 0.646 0.120 0.588
Pt 0.418 0.418 0.747
Pd 0.686 0.202 0.911
La 0.276 0.276 0.172
Pd 0.646 0.646 0.588
Pd 0.120 0.646 0.588
Pd 0.354 0.880 0.412
Pd 0.354 0.354 0.412
La 0.724 0.724 0.828
Pd 0.880 0.354 0.412
Pd 0.798 0.314 0.089
B 0.500 0.500 0.500
La 0.892 0.892 0.324
La 0.108 0.108 0.676
Pd 0.798 0.798 0.089
```


(11)
First-principles (GGA-PBE) data for crystalline La2BPd4Pt2 at its relaxed geometry, as listed in Alexandria via LeMat-Bulk. Values from VASP.

Formation enthalpy at 0 K = -0.832 eV per atom
E_tot = -56.87 eV/cell
SG = I4/mmm (139)

Cell and atoms, written as Quantum ESPRESSO input:
```
&SYSTEM
  ibrav = 0, nat = 9, ntyp = 4
/
ATOMIC_SPECIES
B 10.81 B.upf
Pt 195.08 Pt.upf
Pd 106.42 Pd.upf
La 138.91 La.upf
CELL_PARAMETERS angstrom
-2.722 4.528 -3.072
3.710 -3.896 -2.900
-3.275 -4.732 2.059
ATOMIC_POSITIONS crystal
B 0.000 0.000 0.000
Pt 0.000 0.245 0.245
Pd 0.000 0.261 0.739
Pt 0.000 0.755 0.755
La 0.500 0.750 0.250
Pd 0.522 0.261 0.261
Pd 0.000 0.739 0.261
La 0.500 0.250 0.750
Pd 0.478 0.739 0.739
```


(12)
First-principles (GGA-PBE) data for crystalline LaBPdPt2 at its relaxed geometry, as listed in Alexandria via LeMat-Bulk. Values from VASP.

Formation enthalpy at 0 K = -0.702 eV per atom
E_tot = -32.39 eV/cell
SG = P4/mmm (123)

Cell and atoms, written as Quantum ESPRESSO input:
```
&SYSTEM
  ibrav = 0, nat = 5, ntyp = 4
/
ATOMIC_SPECIES
Pd 106.42 Pd.upf
Pt 195.08 Pt.upf
La 138.91 La.upf
B 10.81 B.upf
CELL_PARAMETERS angstrom
-4.297 -0.405 -0.927
-0.261 -3.466 2.722
-0.981 2.714 3.363
ATOMIC_POSITIONS crystal
Pd 0.000 0.000 0.500
Pt 0.500 0.000 0.000
La 0.500 0.500 0.500
B 0.000 0.000 0.000
Pt 0.000 0.500 0.000
```


Among the records above, which one has the highest formation enthalpy at 0 K?
LaBPd2